1.
The following is a DFT calculation (PBE) of Rb2PuBr5 after structural relaxation.

Calculated values
Raw formation energy ... -1669 meV/atom
Total energy ... -38.0 eV per formula unit
Magnetization ... 20.000 μB per cell

a b c (Å): 14.1061 9.3803 8.7749
angles (deg): 90.00 90.00 90.00
Space group Pnma (No. 62)
Inequivalent atoms, fractional coordinates:
Rb: 0.1699 0.0050 0.0591 [8 per cell]
Pu: 0.0019 0.2500 0.5626 [4 per cell]
Br: 0.0102 0.2500 0.9048 [4 per cell]
Br: 0.0738 0.5408 0.6610 [8 per cell]
Br: 0.1765 0.2500 0.3848 [4 per cell]
Br: 0.1972 0.7500 0.3477 [4 per cell]

2.
The following is a DFT calculation (PBE) of Rb2PuBr4 after structural relaxation.

Calculated values
Raw formation energy ... -1516 meV/atom
Total energy ... -33.6 eV per formula unit
Magnetization ... 11.997 μB per cell

a b c (Å): 8.4806 8.1676 9.7341
angles (deg): 90.00 108.16 90.00
Space group P2_1/m (No. 11)
Inequivalent atoms, fractional coordinates:
Rb: 0.1919 0.2500 0.0561 [2 per cell]
Rb: 0.2380 0.2500 0.5505 [2 per cell]
Pu: 0.2709 0.7500 0.8143 [2 per cell]
Br: 0.0216 0.0012 0.7491 [4 per cell]
Br: 0.4668 0.7500 0.6256 [2 per cell]
Br: 0.4839 0.7500 0.1051 [2 per cell]